1.
{
  "formula": "CoMoCl",
  "functional": "meta-GGA SCAN",
  "state": "PBEsol geometry",
  "relative_energy_mev_per_atom": 0,
  "lattice": [[2.814, 0.000, 0.000], [0.000, 2.814, 0.000], [-1.407, -1.407, 5.309]],
  "species": ["Mo", "Co", "Cl"],
  "frac_coords": [[0.327, 0.327, 0.654], [0.686, 0.686, 0.371], [0.987, 0.987, 0.974]]
}

---

2.
{
  "formula": "Co3MoCl",
  "functional": "meta-GGA SCAN",
  "state": "PBEsol geometry",
  "lattice": [[4.427, 0.000, 0.000], [0.000, 4.427, 0.000], [0.000, 0.000, 4.427]],
  "species": ["Mo", "Co", "Co", "Co", "Cl"],
  "frac_coords": [[0.000, 0.000, 0.000], [0.000, 0.500, 0.000], [0.000, 0.000, 0.500], [0.500, 0.000, 0.000], [0.500, 0.500, 0.500]]
}

---

3.
{
  "formula": "Co2MoCl",
  "functional": "meta-GGA SCAN",
  "state": "PBEsol geometry",
  "lattice": [[2.663, 0.000, 0.000], [0.000, 4.379, 0.000], [0.000, 0.000, 4.379]],
  "species": ["Mo", "Co", "Co", "Cl"],
  "frac_coords": [[0.500, 0.500, 0.500], [0.000, 0.000, 0.500], [0.000, 0.500, 0.000], [0.500, 0.000, 0.000]]
}

---

4.
{
  "formula": "Co4MoCl",
  "functional": "meta-GGA SCAN",
  "state": "PBEsol geometry",
  "lattice": [[-4.474, -0.260, 1.291], [-2.916, -2.856, -2.257], [-1.599, -3.841, 2.107]],
  "species": ["Cl", "Co", "Co", "Co", "Co", "Mo"],
  "frac_coords": [[0.000, 0.000, 0.000], [0.376, 0.376, 0.376], [0.376, 0.376, 0.873], [0.873, 0.376, 0.376], [0.376, 0.873, 0.376], [0.750, 0.750, 0.750]]
}

---

no.,size of the total moment (μB per cell),calculated density (kg/m3),formation energy from raw total energies (meV per atom)
1,0.84,7516,407
2,4.35,5897,1577
3,2.99,8107,1037
4,4.94,8499,823